[1]
Mn2Nb2Mo: relaxed, PBE.

Properties
formation enthalpy at 0 K: 93 kJ/mol of formula units
DOS at the Fermi energy: 6.08 states/eV/f.u.

a b c (Å): 6.815 6.815 3.273
angles (deg): 90.00 90.00 90.00
Space group P4/mbm (No. 127)
Symmetry-distinct sites (fractional):
Mn 0.107 0.393 0.000 [4 per cell]
Nb 0.197 0.697 0.500 [4 per cell]
Mo 0.000 0.000 0.000 [2 per cell]

=====

[2]
Mn8Nb3Mo: relaxed, PBE.

Properties
formation enthalpy at 0 K: -138 kJ/mol of formula units
DOS at the Fermi energy: 20.78 states/eV/f.u.

a b c (Å): 4.7898 4.7898 7.8655
angles (deg): 90.00 90.00 120.00
Space group P3m1 (No. 156)
Symmetry-distinct sites (fractional):
Mn 0.0000 0.0000 0.0000 [1 per cell]
Mn 0.0000 0.0000 0.4990 [1 per cell]
Mn 0.1714 0.3428 0.2492 [3 per cell]
Mn 0.3437 0.1719 0.7533 [3 per cell]
Nb 0.3333 0.6667 0.5648 [1 per cell]
Nb 0.3333 0.6667 0.9421 [1 per cell]
Nb 0.6667 0.3333 0.4374 [1 per cell]
Mo 0.6667 0.3333 0.0660 [1 per cell]

=====

[3]
MnNb2Mo: relaxed, PBE.

Properties
formation enthalpy at 0 K: -33 kJ/mol of formula units
DOS at the Fermi energy: 3.25 states/eV/f.u.

a b c (Å): 3.164 3.164 6.315
angles (deg): 90.00 90.00 90.00
Space group P4/mmm (No. 123)
Symmetry-distinct sites (fractional):
Mn 0.000 0.000 0.000 [1 per cell]
Nb 0.500 0.500 0.242 [2 per cell]
Mo 0.000 0.000 0.500 [1 per cell]

=====

[4]
Mn3NbMo: relaxed, PBE.

Properties
formation enthalpy at 0 K: 689 kJ/mol of formula units
energy relative to the lowest polymorph listed for this composition: 0.0 meV/atom
DOS at the Fermi energy: 6.43 states/eV/f.u.

a b c (Å): 4.347 4.347 4.347
angles (deg): 90.00 90.00 90.00
Space group Pm-3m (No. 221)
Symmetry-distinct sites (fractional):
Mn 0.000 0.000 0.500 [3 per cell]
Nb 0.500 0.500 0.500 [1 per cell]
Mo 0.000 0.000 0.000 [1 per cell]

=====

[5]
Mn5Nb4Mo: relaxed, PBE.

Properties
formation enthalpy at 0 K: -59 kJ/mol of formula units
DOS at the Fermi energy: 4.37 states/eV/f.u.

a b c (Å): 3.052 3.052 15.289
angles (deg): 90.00 90.00 90.00
Space group P4/mmm (No. 123)
Symmetry-distinct sites (fractional):
Mn 0.000 0.000 0.000 [1 per cell]
Mn 0.000 0.000 0.202 [2 per cell]
Mn 0.000 0.000 0.404 [2 per cell]
Nb 0.500 0.500 0.100 [2 per cell]
Nb 0.500 0.500 0.301 [2 per cell]
Mo 0.500 0.500 0.500 [1 per cell]

=====

[6]
MnNb3Mo: relaxed, PBE.

Properties
formation enthalpy at 0 K: 452 kJ/mol of formula units
energy relative to the lowest polymorph listed for this composition: 292.6 meV/atom
DOS at the Fermi energy: 9.33 states/eV/f.u.

a b c (Å): 4.549 4.549 4.549
angles (deg): 90.00 90.00 90.00
Space group Pm-3m (No. 221)
Symmetry-distinct sites (fractional):
Mn 0.000 0.000 0.000 [1 per cell]
Nb 0.000 0.000 0.500 [3 per cell]
Mo 0.500 0.500 0.500 [1 per cell]

=====

[7]
MnNb2Mo: relaxed, PBE.

Properties
formation enthalpy at 0 K: -36 kJ/mol of formula units
DOS at the Fermi energy: 2.98 states/eV/f.u.

a b c (Å): 4.481 3.157 8.924
angles (deg): 90.00 90.00 90.00
Space group Pmma (No. 51)
Symmetry-distinct sites (fractional):
Mn 0.250 0.000 0.119 [2 per cell]
Nb 0.250 0.500 0.367 [2 per cell]
Nb 0.250 0.500 0.884 [2 per cell]
Mo 0.250 0.000 0.630 [2 per cell]

=====

[8]
Mn2NbMo: relaxed, PBE.

Properties
formation enthalpy at 0 K: 11 kJ/mol of formula units
energy relative to the lowest polymorph listed for this composition: 1.6 meV/atom
DOS at the Fermi energy: 5.35 states/eV/f.u.

a b c (Å): 6.058 6.058 6.058
angles (deg): 90.00 90.00 90.00
Space group Fm-3m (No. 225)
Symmetry-distinct sites (fractional):
Mn 0.250 0.250 0.250 [8 per cell]
Nb 0.000 0.000 0.000 [4 per cell]
Mo 0.000 0.000 0.500 [4 per cell]

=====

| no. | total DFT energy (no corrections) (hartree per atom) |
| --- | --- |
| 1 | -0.355 |
| 2 | -0.355 |
| 3 | -0.372 |
| 4 | -0.303 |
| 5 | -0.359 |
| 6 | -0.335 |
| 7 | -0.372 |
| 8 | -0.359 |